# GGA-PBE Li4Ac2MgSb3, optimized geometry
# Magnetization in μB/f.u.: 0.000
# Uncorrected energy in eV per atom: -3.714
# Raw formation energy in kJ/mol of formula units: -705
data_Li4Ac2MgSb3
_cell_length_a 4.583
_cell_length_b 4.583
_cell_length_c 11.807
_cell_angle_alpha 90.00
_cell_angle_beta 90.00
_cell_angle_gamma 90.00
_space_group_name_H-M_alt 'P 1'
_space_group_IT_number 1
_space_group_name_Hall 'P 1'
loop_
_atom_site_label
_atom_site_fract_x
_atom_site_fract_y
_atom_site_fract_z
Li1 0.000 0.000 0.000
Li2 0.000 0.500 0.367
Li3 0.500 0.000 0.633
Li4 0.500 0.500 0.000
Ac1 0.000 0.500 0.750
Ac2 0.500 0.000 0.250
Mg1 0.500 0.500 0.500
Sb1 0.000 0.000 0.500
Sb2 0.000 0.500 0.141
Sb3 0.500 0.000 0.859

***

# GGA-PBE PrSmCu, optimized geometry
# Magnetization in μB/f.u.: 0.682
# Energy above the lowest structure with this stoichiometry in eV/atom: 0.195
# Uncorrected energy in eV per atom: -4.411
# Energy relative to the elements in meV/atom: 121
data_PrSmCu
_cell_length_a 4.989
_cell_length_b 4.989
_cell_length_c 4.989
_cell_angle_alpha 60.00
_cell_angle_beta 60.00
_cell_angle_gamma 60.00
_space_group_name_H-M_alt 'P 1'
_space_group_IT_number 1
_space_group_name_Hall 'P 1'
loop_
_atom_site_label
_atom_site_fract_x
_atom_site_fract_y
_atom_site_fract_z
Pr1 0.000 0.000 0.000
Sm1 0.500 0.500 0.500
Cu1 0.750 0.750 0.750

***

# GGA-PBE Ti5FeTc6, optimized geometry
# Magnetization in μB/f.u.: 1.671
# Uncorrected energy in eV per atom: -9.562
# Energy relative to the elements in meV/atom: -384
data_Ti5FeTc6
_cell_length_a 6.897
_cell_length_b 6.897
_cell_length_c 6.164
_cell_angle_alpha 90.00
_cell_angle_beta 90.00
_cell_angle_gamma 143.13
_space_group_name_H-M_alt 'P 1'
_space_group_IT_number 1
_space_group_name_Hall 'P 1'
loop_
_atom_site_label
_atom_site_fract_x
_atom_site_fract_y
_atom_site_fract_z
Ti1 0.000 0.000 0.000
Ti2 0.334 0.666 0.000
Ti3 0.334 0.666 0.500
Ti4 0.666 0.334 0.000
Ti5 0.666 0.334 0.500
Fe1 0.000 0.000 0.500
Tc1 0.164 0.836 0.252
Tc2 0.164 0.836 0.748
Tc3 0.500 0.500 0.255
Tc4 0.500 0.500 0.745
Tc5 0.836 0.164 0.252
Tc6 0.836 0.164 0.748

***

# GGA-PBE AgTe2Rh, optimized geometry
# Magnetization in μB/f.u.: 0.000
# Uncorrected energy in eV per atom: -4.149
# Raw formation energy in kJ/mol of formula units: -11
data_AgTe2Rh
_cell_length_a 5.365
_cell_length_b 5.365
_cell_length_c 6.306
_cell_angle_alpha 109.14
_cell_angle_beta 109.14
_cell_angle_gamma 38.56
_space_group_name_H-M_alt 'P 1'
_space_group_IT_number 1
_space_group_name_Hall 'P 1'
loop_
_atom_site_label
_atom_site_fract_x
_atom_site_fract_y
_atom_site_fract_z
Ag1 0.000 0.000 0.000
Te1 0.160 0.160 0.706
Te2 0.400 0.400 0.286
Rh1 0.726 0.726 0.029

***

# GGA-PBE Nd2TmAl6, optimized geometry
# Magnetization in μB/f.u.: 0.000
# Uncorrected energy in eV per atom: -4.515
# Energy relative to the elements in meV/atom: -464
data_Nd2TmAl6
_cell_length_a 7.961
_cell_length_b 7.961
_cell_length_c 3.604
_cell_angle_alpha 90.00
_cell_angle_beta 90.00
_cell_angle_gamma 120.00
_space_group_name_H-M_alt 'P 1'
_space_group_IT_number 1
_space_group_name_Hall 'P 1'
loop_
_atom_site_label
_atom_site_fract_x
_atom_site_fract_y
_atom_site_fract_z
Nd1 0.333 0.667 0.000
Nd2 0.667 0.333 0.000
Tm1 0.000 0.000 0.000
Al1 0.000 0.330 0.500
Al2 0.000 0.670 0.500
Al3 0.330 0.000 0.500
Al4 0.330 0.330 0.500
Al5 0.670 0.000 0.500
Al6 0.670 0.670 0.500

***

# GGA-PBE Zn12Fe3Pt5, optimized geometry
# Magnetization in μB/f.u.: 7.377
# Uncorrected energy in eV per atom: -3.238
# Energy relative to the elements in meV/atom: 306
data_Zn12Fe3Pt5
_cell_length_a 12.579
_cell_length_b 12.579
_cell_length_c 12.579
_cell_angle_alpha 109.47
_cell_angle_beta 109.47
_cell_angle_gamma 109.47
_space_group_name_H-M_alt 'P 1'
_space_group_IT_number 1
_space_group_name_Hall 'P 1'
loop_
_atom_site_label
_atom_site_fract_x
_atom_site_fract_y
_atom_site_fract_z
Zn1 0.065 0.231 0.138
Zn2 0.065 0.333 0.927
Zn3 0.073 0.638 0.407
Zn4 0.073 0.935 0.667
Zn5 0.093 0.731 0.667
Zn6 0.093 0.862 0.427
Zn7 0.138 0.065 0.231
Zn8 0.138 0.573 0.907
Zn9 0.167 0.231 0.593
Zn10 0.167 0.435 0.573
Zn11 0.231 0.138 0.065
Zn12 0.231 0.593 0.167
Zn13 0.269 0.333 0.907
Zn14 0.269 0.435 0.362
Zn15 0.333 0.907 0.269
Zn16 0.333 0.927 0.065
Zn17 0.362 0.269 0.435
Zn18 0.362 0.593 0.927
Zn19 0.407 0.073 0.638
Zn20 0.407 0.833 0.769
Zn21 0.427 0.093 0.862
Zn22 0.427 0.833 0.565
Zn23 0.435 0.362 0.269
Zn24 0.435 0.573 0.167
Zn25 0.565 0.427 0.833
Zn26 0.565 0.638 0.731
Zn27 0.573 0.167 0.435
Zn28 0.573 0.907 0.138
Zn29 0.593 0.167 0.231
Zn30 0.593 0.927 0.362
Zn31 0.638 0.407 0.073
Zn32 0.638 0.731 0.565
Zn33 0.667 0.073 0.935
Zn34 0.667 0.093 0.731
Zn35 0.731 0.565 0.638
Zn36 0.731 0.667 0.093
Zn37 0.769 0.407 0.833
Zn38 0.769 0.862 0.935
Zn39 0.833 0.565 0.427
Zn40 0.833 0.769 0.407
Zn41 0.862 0.427 0.093
Zn42 0.862 0.935 0.769
Zn43 0.907 0.138 0.573
Zn44 0.907 0.269 0.333
Zn45 0.927 0.065 0.333
Zn46 0.927 0.362 0.593
Zn47 0.935 0.667 0.073
Zn48 0.935 0.769 0.862
Fe1 0.125 0.250 0.375
Fe2 0.125 0.375 0.750
Fe3 0.250 0.375 0.125
Fe4 0.250 0.875 0.625
Fe5 0.375 0.125 0.250
Fe6 0.375 0.750 0.125
Fe7 0.625 0.250 0.875
Fe8 0.625 0.875 0.750
Fe9 0.750 0.125 0.375
Fe10 0.750 0.625 0.875
Fe11 0.875 0.625 0.250
Fe12 0.875 0.750 0.625
Pt1 0.000 0.000 0.000
Pt2 0.000 0.000 0.500
Pt3 0.000 0.500 0.000
Pt4 0.000 0.500 0.500
Pt5 0.125 0.750 0.875
Pt6 0.125 0.875 0.250
Pt7 0.250 0.125 0.875
Pt8 0.250 0.625 0.375
Pt9 0.375 0.250 0.625
Pt10 0.375 0.625 0.750
Pt11 0.500 0.000 0.000
Pt12 0.500 0.000 0.500
Pt13 0.500 0.500 0.000
Pt14 0.500 0.500 0.500
Pt15 0.625 0.375 0.250
Pt16 0.625 0.750 0.375
Pt17 0.750 0.375 0.625
Pt18 0.750 0.875 0.125
Pt19 0.875 0.125 0.750
Pt20 0.875 0.250 0.125

***

# GGA-PBE Y2AlNi, optimized geometry
# Magnetization in μB/f.u.: 0.001
# Uncorrected energy in eV per atom: -5.869
# Energy relative to the elements in meV/atom: -256
data_Y2AlNi
_cell_length_a 3.253
_cell_length_b 3.253
_cell_length_c 8.228
_cell_angle_alpha 90.00
_cell_angle_beta 90.00
_cell_angle_gamma 90.00
_space_group_name_H-M_alt 'P 1'
_space_group_IT_number 1
_space_group_name_Hall 'P 1'
loop_
_atom_site_label
_atom_site_fract_x
_atom_site_fract_y
_atom_site_fract_z
Y1 0.000 0.000 0.000
Y2 0.500 0.500 0.366
Al1 0.000 0.000 0.630
Ni1 0.500 0.500 0.771

***

# GGA-PBE ReBi2PdRh, optimized geometry
# Magnetization in μB/f.u.: 3.588
# Energy above the lowest structure with this stoichiometry in eV/atom: 0.000
# Uncorrected energy in eV per atom: -5.154
# Energy relative to the elements in meV/atom: 1397
data_ReBi2PdRh
_cell_length_a 5.087
_cell_length_b 5.087
_cell_length_c 4.991
_cell_angle_alpha 90.00
_cell_angle_beta 90.00
_cell_angle_gamma 90.00
_space_group_name_H-M_alt 'P 1'
_space_group_IT_number 1
_space_group_name_Hall 'P 1'
loop_
_atom_site_label
_atom_site_fract_x
_atom_site_fract_y
_atom_site_fract_z
Re1 0.000 0.000 0.000
Bi1 0.000 0.500 0.500
Bi2 0.500 0.000 0.500
Pd1 0.500 0.500 0.000
Rh1 0.500 0.500 0.500

***

# GGA-PBE Tl2SbAu4, optimized geometry
# Magnetization in μB/f.u.: 0.000
# Uncorrected energy in eV per atom: -3.201
# Raw formation energy in kJ/mol of formula units: -43
data_Tl2SbAu4
_cell_length_a 6.889
_cell_length_b 6.922
_cell_length_c 8.421
_cell_angle_alpha 78.50
_cell_angle_beta 77.49
_cell_angle_gamma 64.52
_space_group_name_H-M_alt 'P 1'
_space_group_IT_number 1
_space_group_name_Hall 'P 1'
loop_
_atom_site_label
_atom_site_fract_x
_atom_site_fract_y
_atom_site_fract_z
Tl1 0.037 0.135 0.140
Tl2 0.201 0.724 0.462
Tl3 0.799 0.276 0.538
Tl4 0.963 0.865 0.860
Sb1 0.279 0.251 0.742
Sb2 0.721 0.749 0.258
Au1 0.146 0.524 0.167
Au2 0.407 0.225 0.421
Au3 0.433 0.498 0.837
Au4 0.475 0.861 0.908
Au5 0.525 0.139 0.092
Au6 0.567 0.502 0.163
Au7 0.593 0.775 0.579
Au8 0.854 0.476 0.833

***

# GGA-PBE MnV2ZnSb, optimized geometry
# Magnetization in μB/f.u.: 0.000
# Uncorrected energy in eV per atom: -5.898
# Raw formation energy in kJ/mol of formula units: 320
data_MnV2ZnSb
_cell_length_a 4.315
_cell_length_b 4.315
_cell_length_c 4.670
_cell_angle_alpha 90.00
_cell_angle_beta 90.00
_cell_angle_gamma 90.00
_space_group_name_H-M_alt 'P 1'
_space_group_IT_number 1
_space_group_name_Hall 'P 1'
loop_
_atom_site_label
_atom_site_fract_x
_atom_site_fract_y
_atom_site_fract_z
Mn1 0.000 0.000 0.000
V1 0.000 0.500 0.000
V2 0.500 0.000 0.000
Zn1 0.000 0.000 0.500
Sb1 0.500 0.500 0.500

***

# GGA-PBE AcAlHg2, optimized geometry
# Magnetization in μB/f.u.: 0.000
# Uncorrected energy in eV per atom: -2.323
# Energy relative to the elements in meV/atom: -209
data_AcAlHg2
_cell_length_a 4.940
_cell_length_b 4.940
_cell_length_c 4.533
_cell_angle_alpha 90.00
_cell_angle_beta 90.00
_cell_angle_gamma 90.00
_space_group_name_H-M_alt 'P 1'
_space_group_IT_number 1
_space_group_name_Hall 'P 1'
loop_
_atom_site_label
_atom_site_fract_x
_atom_site_fract_y
_atom_site_fract_z
Ac1 0.000 0.000 0.000
Al1 0.500 0.500 0.000
Hg1 0.000 0.500 0.500
Hg2 0.500 0.000 0.500

***

# GGA-PBE Cd2BiSb, optimized geometry
# Magnetization in μB/f.u.: 0.000
# Uncorrected energy in eV per atom: -2.326
# Raw formation energy in kJ/mol of formula units: 51
data_Cd2BiSb
_cell_length_a 3.402
_cell_length_b 3.402
_cell_length_c 9.322
_cell_angle_alpha 90.00
_cell_angle_beta 90.00
_cell_angle_gamma 90.00
_space_group_name_H-M_alt 'P 1'
_space_group_IT_number 1
_space_group_name_Hall 'P 1'
loop_
_atom_site_label
_atom_site_fract_x
_atom_site_fract_y
_atom_site_fract_z
Cd1 0.000 0.000 0.243
Cd2 0.000 0.000 0.757
Bi1 0.500 0.500 0.500
Sb1 0.500 0.500 0.000